[1]
Hg2RhI at its PBEsol-relaxed geometry. Source: the Alexandria database, functional SCAN.

Cell lengths 4.9498, 4.9498, 4.9498 Å; angles 60.00, 60.00, 60.00 degrees
Positions (direct):
I  0.5000  0.5000  0.5000
Rh  0.0000  0.0000  0.0000
Hg  0.2500  0.2500  0.2500
Hg  0.7500  0.7500  0.7500

SG ... Fm-3m (225)
Total magnetization ... 0.00 μB/cell
Formation energy without anion corrections ... 72.1 kJ/mol of atoms



[2]
Zr2CrPW at its PBEsol-relaxed geometry. Source: the Alexandria database, functional SCAN.

Cell lengths 4.2832, 4.7858, 4.7858 Å; angles 90.00, 90.00, 90.00 degrees
Positions (direct):
Cr  0.0000  0.0000  0.0000
Zr  0.0000  0.0000  0.5000
Zr  0.0000  0.5000  0.0000
W  0.5000  0.0000  0.0000
P  0.5000  0.5000  0.5000

SG ... P4/mmm (123)
Raw total energy ... -156.1 eV per cell
Total magnetization ... 0.00 μB/cell



[3]
ZnSbOs2 at its PBEsol-relaxed geometry. Source: the Alexandria database, functional SCAN.

Cell lengths 4.3932, 4.3932, 4.3932 Å; angles 60.00, 60.00, 60.00 degrees
Positions (direct):
Os  0.2500  0.2500  0.2500
Os  0.7500  0.7500  0.7500
Sb  0.5000  0.5000  0.5000
Zn  0.0000  0.0000  0.0000

SG ... Fm-3m (225)
Total magnetization ... 0.00 μB/cell
Formation energy without anion corrections ... 35.1 kJ/mol of atoms
ΔE to the lowest computed polymorph ... 0.000 eV per atom



[4]
AlCr at its PBEsol-relaxed geometry. Source: the Alexandria database, functional SCAN.

Cell lengths 4.7232, 4.7232, 4.7232 Å; angles 90.00, 90.00, 90.00 degrees
Positions (direct):
Al  0.0989  0.5989  0.9011
Al  0.4011  0.4011  0.4011
Al  0.9011  0.0989  0.5989
Al  0.5989  0.9011  0.0989
Cr  0.3917  0.8917  0.6083
Cr  0.1083  0.1083  0.1083
Cr  0.6083  0.3917  0.8917
Cr  0.8917  0.6083  0.3917

SG ... P2_13 (198)
Raw total energy ... -104.0 eV per cell
Total magnetization ... 10.22 μB/cell



[5]
Zr2FeIr at its PBEsol-relaxed geometry. Source: the Alexandria database, functional SCAN.

Cell lengths 3.2278, 4.2547, 5.1708 Å; angles 90.00, 108.18, 90.00 degrees
Positions (direct):
Fe  0.2846  0.0000  0.4440
Ir  0.4586  0.5000  0.7922
Zr  0.0237  0.0000  0.9226
Zr  0.7331  0.5000  0.3411

SG ... Amm2 (38)
Raw total energy ... -152.5 eV per cell
Total magnetization ... 0.00 μB/cell



[6]
ZnAg3Mo at its PBEsol-relaxed geometry. Source: the Alexandria database, functional SCAN.

Cell lengths 4.9799, 4.9799, 4.9799 Å; angles 90.00, 90.00, 90.00 degrees
Positions (direct):
Mo  0.0000  0.0000  0.0000
Zn  0.5000  0.5000  0.5000
Ag  0.0000  0.5000  0.0000
Ag  0.0000  0.0000  0.5000
Ag  0.5000  0.0000  0.0000

SG ... Pm-3m (221)
Raw total energy ... -133.8 eV per cell
Total magnetization ... 3.90 μB/cell



[7]
Ta5Mo3 at its PBEsol-relaxed geometry. Source: the Alexandria database, functional SCAN.

Cell lengths 3.2065, 4.5391, 9.5456 Å; angles 103.75, 99.67, 90.00 degrees
Positions (direct):
Mo  0.9972  0.9972  0.9945
Mo  0.3777  0.8777  0.7555
Mo  0.1253  0.6253  0.2506
Ta  0.7498  0.7498  0.4997
Ta  0.5032  0.5032  0.0064
Ta  0.8754  0.3754  0.7508
Ta  0.2496  0.2496  0.4991
Ta  0.6217  0.1217  0.2434

SG ... Imm2 (44)
Total magnetization ... 0.00 μB/cell
ΔE to the lowest computed polymorph ... 0.015 eV per atom



[8]
CaSc2AsPb at its PBEsol-relaxed geometry. Source: the Alexandria database, functional SCAN.

Cell lengths 5.3136, 5.3136, 5.6413 Å; angles 90.00, 90.00, 90.00 degrees
Positions (direct):
Pb  0.0000  0.0000  0.0000
Sc  0.0000  0.5000  0.0000
Sc  0.5000  0.0000  0.0000
As  0.5000  0.5000  0.5000
Ca  0.0000  0.0000  0.5000

SG ... P4/mmm (123)
Raw total energy ... -133.6 eV per cell
Total magnetization ... 0.00 μB/cell



[9]
TaIn2Mo at its PBEsol-relaxed geometry. Source: the Alexandria database, functional SCAN.

Cell lengths 4.6951, 4.6951, 4.6951 Å; angles 60.00, 60.00, 60.00 degrees
Positions (direct):
In  0.0000  0.0000  0.0000
In  0.2500  0.2500  0.2500
Mo  0.5000  0.5000  0.5000
Ta  0.7500  0.7500  0.7500

SG ... F-43m (216)
Total magnetization ... 0.00 μB/cell
ΔE to the lowest computed polymorph ... 0.204 eV per atom



[10]
TlTeSI2 at its PBEsol-relaxed geometry. Source: the Alexandria database, functional SCAN.

Cell lengths 5.4791, 5.4010, 5.4010 Å; angles 90.00, 90.00, 90.00 degrees
Positions (direct):
I  0.0000  0.0000  0.5000
I  0.0000  0.5000  0.0000
Tl  0.5000  0.5000  0.5000
Te  0.5000  0.0000  0.0000
S  0.0000  0.0000  0.0000

SG ... P4/mmm (123)
Total magnetization ... 0.00 μB/cell
Formation energy without anion corrections ... 8.0 kJ/mol of atoms



[11]
TcSnSe2 at its PBEsol-relaxed geometry. Source: the Alexandria database, functional SCAN.

Cell lengths 3.5036, 3.5036, 8.6855 Å; angles 78.36, 78.36, 60.00 degrees
Positions (direct):
Sn  0.5000  0.5000  0.5000
Se  0.9087  0.9087  0.2738
Se  0.0913  0.0913  0.7262
Tc  0.0000  0.0000  0.0000

SG ... R-3m (166)
Total magnetization ... 0.00 μB/cell
Formation energy without anion corrections ... 67.7 kJ/mol of atoms



[12]
SrScSb2 at its PBEsol-relaxed geometry. Source: the Alexandria database, functional SCAN.

Cell lengths 4.3839, 4.3839, 6.1537 Å; angles 90.00, 90.00, 90.00 degrees
Positions (direct):
Sb  0.0000  0.0000  0.8760
Sb  0.5000  0.5000  0.3743
Sc  0.0000  0.0000  0.3753
Sr  0.5000  0.5000  0.8743

SG ... P4mm (99)
Total magnetization ... 0.00 μB/cell
Formation energy without anion corrections ... -70.6 kJ/mol of atoms
ΔE to the lowest computed polymorph ... 0.207 eV per atom



[13]
Ca2InOsRh at its PBEsol-relaxed geometry. Source: the Alexandria database, functional SCAN.

Cell lengths 5.0391, 5.1797, 5.1797 Å; angles 90.00, 90.00, 90.00 degrees
Positions (direct):
Rh  0.5000  0.5000  0.5000
Ca  0.0000  0.0000  0.5000
Ca  0.0000  0.5000  0.0000
Os  0.0000  0.0000  0.0000
In  0.5000  0.0000  0.0000

SG ... P4/mmm (123)
Raw total energy ... -154.8 eV per cell
Total magnetization ... 1.60 μB/cell



[14]
ReMoAu2 at its PBEsol-relaxed geometry. Source: the Alexandria database, functional SCAN.

Cell lengths 2.7876, 2.7876, 9.5429 Å; angles 81.60, 81.60, 60.00 degrees
Positions (direct):
Au  0.9981  0.9981  0.0058
Au  0.7519  0.7519  0.7444
Mo  0.5029  0.5029  0.4912
Re  0.2471  0.2471  0.2587

SG ... R3m (160)
Total magnetization ... 0.00 μB/cell
ΔE to the lowest computed polymorph ... 0.000 eV per atom



[15]
Co2MoAu at its PBEsol-relaxed geometry. Source: the Alexandria database, functional SCAN.

Cell lengths 2.6947, 2.6947, 8.6280 Å; angles 81.02, 81.02, 60.00 degrees
Positions (direct):
Co  0.2459  0.2459  0.2623
Co  0.7541  0.7541  0.7377
Mo  0.5000  0.5000  0.5000
Au  0.0000  0.0000  0.0000

SG ... R-3m (166)
Raw total energy ... -137.4 eV per cell
Total magnetization ... 3.13 μB/cell



[16]
ScTaSb2N at its PBEsol-relaxed geometry. Source: the Alexandria database, functional SCAN.

Cell lengths 3.9847, 4.8851, 4.8851 Å; angles 90.00, 90.00, 90.00 degrees
Positions (direct):
Sc  0.5000  0.5000  0.5000
Sb  0.0000  0.0000  0.5000
Sb  0.0000  0.5000  0.0000
N  0.0000  0.0000  0.0000
Ta  0.5000  0.0000  0.0000

SG ... P4/mmm (123)
Total magnetization ... 0.00 μB/cell
Formation energy without anion corrections ... -7.3 kJ/mol of atoms



[17]
RbCrW3 at its PBEsol-relaxed geometry. Source: the Alexandria database, functional SCAN.

Cell lengths 4.6135, 4.6135, 4.6135 Å; angles 90.00, 90.00, 90.00 degrees
Positions (direct):
Cr  0.5000  0.5000  0.5000
Rb  0.0000  0.0000  0.0000
W  0.0000  0.5000  0.0000
W  0.0000  0.0000  0.5000
W  0.5000  0.0000  0.0000

SG ... Pm-3m (221)
Total magnetization ... 4.20 μB/cell
ΔE to the lowest computed polymorph ... 1.940 eV per atom



[18]
CdSiBr2 at its PBEsol-relaxed geometry. Source: the Alexandria database, functional SCAN.

Cell lengths 3.7714, 3.7709, 9.5063 Å; angles 101.73, 90.00, 120.00 degrees
Positions (direct):
Br  0.7275  0.4551  0.6777
Br  0.2725  0.5449  0.3223
Cd  0.5000  0.0000  0.0000
Si  0.0000  0.0000  0.5000

SG ... C2/m (12)
Total magnetization ... 0.00 μB/cell
Formation energy without anion corrections ... 2.8 kJ/mol of atoms



[19]
AlTlCo2 at its PBEsol-relaxed geometry. Source: the Alexandria database, functional SCAN.

Cell lengths 4.2977, 4.2977, 4.2977 Å; angles 60.00, 60.00, 60.00 degrees
Positions (direct):
Tl  0.2500  0.2500  0.2500
Co  0.0000  0.0000  0.0000
Co  0.7500  0.7500  0.7500
Al  0.5000  0.5000  0.5000

SG ... F-43m (216)
Total magnetization ... 3.09 μB/cell
ΔE to the lowest computed polymorph ... 0.192 eV per atom



[20]
Li2ZnSn at its PBEsol-relaxed geometry. Source: the Alexandria database, functional SCAN.

Cell lengths 4.5369, 4.5369, 4.5369 Å; angles 60.00, 60.00, 60.00 degrees
Positions (direct):
Zn  0.7500  0.7500  0.7500
Sn  0.0000  0.0000  0.0000
Li  0.2500  0.2500  0.2500
Li  0.5000  0.5000  0.5000

SG ... F-43m (216)
Raw total energy ... -55.8 eV per cell
Total magnetization ... 0.00 μB/cell